Density functional theory data (PBE) for a geometry-optimized CdAgN2 structure.

E_form (uncorrected) = 1.41 eV per atom

Lattice parameters (Å, degrees): 4.8434 4.8434 10.8204 90.00 90.00 90.00
Closest atoms and distances in Å follow each position.
Space group I-42d (No. 122)
Unique sites:
1 Cd 0.0000 0.0000 0.0000 (multiplicity 4)  4 N 2.26
2 Ag 0.0000 0.0000 0.5000 (multiplicity 4)  4 N 2.11
3 N 0.2217 0.2500 0.6250 (multiplicity 8)  2 Ag 2.11, 2 Cd 2.26


Density functional theory data (PBE) for a geometry-optimized Ga4GeRh7 structure.

ΔH_f (0 K) = -0.3021 eV per atom

Lattice parameters (Å, degrees): 12.0465 4.4751 8.8020 90.00 126.75 90.00
Closest atoms and distances in Å follow each position.
Space group C2/m (No. 12)
Unique sites:
1 Ga 0.0829 0.0000 0.2838 (multiplicity 4)  8 Rh 2.47-2.70
2 Ga 0.2213 0.0000 0.8434 (multiplicity 4)  6 Rh 2.44-2.61
3 Ge 0.0000 0.5000 0.5000 (multiplicity 2)  4 Rh 2.24-2.34
4 Rh 0.0000 0.0000 0.5000 (multiplicity 2)  2 Ge 2.24
5 Rh 0.0714 0.5000 0.8120 (multiplicity 4)  1 Ge 2.34, 1 Ga 2.52
6 Rh 0.1405 0.0000 0.0575 (multiplicity 4)  5 Ga 2.47-2.61
7 Rh 0.2113 0.5000 0.3686 (multiplicity 4)  4 Ga 2.44-2.56


Density functional theory data (PBE) for a geometry-optimized Tc3MoPb structure.

ΔE to the lowest computed polymorph = 1.326 eV/atom
ΔH_f (0 K) = 2.8420 eV per atom

Lattice parameters (Å, degrees): 4.8247 4.8247 4.8247 90.00 90.00 90.00
Closest atoms and distances in Å follow each position.
Space group Pm-3m (No. 221)
Unique sites:
1 Tc 0.0000 0.0000 0.5000 (multiplicity 3)  2 Pb 2.41
2 Mo 0.5000 0.5000 0.5000 (multiplicity 1)  12 Tc 3.41
3 Pb 0.0000 0.0000 0.0000 (multiplicity 1)  6 Tc 2.41


Electronic total energy for the records above, in order: -3.690; -5.984; -6.285 eV/atom